1.
Below is a crystal of AlZnRh relaxed with PBEsol, with properties calculated at the meta-GGA SCAN level.

Cell and atoms, written as POSCAR:
```
AlZnRh
1.0
-1.289 -3.875 -0.249
1.582 -2.505 -2.822
2.474 -3.056 1.133
Zn Rh Al
1 1 1
Direct
0.000 0.000 0.000 Zn
0.250 0.250 0.250 Rh
0.500 0.500 0.500 Al
```

Summary:
density = 6.7 g cm⁻³
energy relative to the lowest polymorph listed for this composition = 199 meV/atom
Fermi-level density of states = 0.94 states/eV per cell
DFT formation energy = -0.510 eV per atom


2.
Below is a crystal of ZrScTc relaxed with PBEsol, with properties calculated at the meta-GGA SCAN level.

Cell and atoms, written as POSCAR:
```
ZrScTc
1.0
-1.740 1.098 -2.560
-1.015 -3.061 -0.623
-2.845 1.732 4.783
Sc Tc Zr
1 1 1
Direct
0.023 0.023 0.046 Sc
0.672 0.672 0.344 Tc
0.305 0.305 0.610 Zr
```

Summary:
density = 6.7 g cm⁻³
Fermi-level density of states = 2.20 states/eV per cell
DFT formation energy = -0.293 eV per atom


3.
Below is a crystal of KMgTi3 relaxed with PBEsol, with properties calculated at the meta-GGA SCAN level.

Cell and atoms, written as POSCAR:
```
KMgTi3
1.0
-4.994 0.740 -0.600
-0.297 -4.252 -2.771
-0.905 -2.687 4.220
K Mg Ti
1 1 3
Direct
0.500 0.500 0.500 K
0.000 0.000 0.000 Mg
0.000 0.500 0.000 Ti
0.000 0.000 0.500 Ti
0.500 0.000 0.000 Ti
```

Summary:
density = 2.6 g cm⁻³
energy relative to the lowest polymorph listed for this composition = 0 meV/atom
Fermi-level density of states = 5.54 states/eV per cell
DFT formation energy = 1.475 eV per atom


4.
Below is a crystal of TaReRh2 relaxed with PBEsol, with properties calculated at the meta-GGA SCAN level.

Cell and atoms, written as POSCAR:
```
TaReRh2
1.0
-1.011 2.530 0.349
-3.535 -1.290 -0.889
-0.930 -1.104 5.299
Re Rh Ta
1 2 1
Direct
0.500 0.500 0.500 Re
0.000 0.000 0.741 Rh
0.000 0.000 0.259 Rh
0.500 0.500 0.000 Ta
```

Summary:
density = 16.3 g cm⁻³
energy relative to the lowest polymorph listed for this composition = 0 meV/atom
Fermi-level density of states = 1.77 states/eV per cell
DFT formation energy = -0.380 eV per atom


What did the fourth record say?
Below is a crystal of TaReRh2 relaxed with PBEsol, with properties calculated at the meta-GGA SCAN level.

Cell and atoms, written as POSCAR:
```
TaReRh2
1.0
-1.011 2.530 0.349
-3.535 -1.290 -0.889
-0.930 -1.104 5.299
Re Rh Ta
1 2 1
Direct
0.500 0.500 0.500 Re
0.000 0.000 0.741 Rh
0.000 0.000 0.259 Rh
0.500 0.500 0.000 Ta
```

Summary:
density = 16.3 g cm⁻³
energy relative to the lowest polymorph listed for this composition = 0 meV/atom
Fermi-level density of states = 1.77 states/eV per cell
DFT formation energy = -0.380 eV per atom